# 1
## MgFeCl2 (GGA-PBEsol)

Data for an optimized crystal structure of MgFeCl2.

Cell lengths 3.486, 4.973, 4.973 Å; angles 102.25, 109.07, 109.07 degrees
Positions (direct):
Cl 0.000 0.500 0.000
Cl 0.000 0.000 0.500
Fe 0.000 0.000 0.000
Mg 0.000 0.500 0.500

Values from the calculation:
**Volume**: 18.0 A^3/atom
**Final energy**: -3.881 eV/atom
**Relative energy among the computed polymorphs**: 205 meV/atom
**Size of the total moment**: 2.5 Bohr magnetons per cell
**Formation energy (no corrections)**: -0.207 eV/atom
**Crystal system**: monoclinic

=====

# 2
## Mn3BeO (GGA-PBEsol)

Data for an optimized crystal structure of Mn3BeO.

Cell lengths 3.666, 3.666, 3.666 Å; angles 90.00, 90.00, 90.00 degrees
Positions (direct):
Mn 0.500 0.000 0.000
Mn 0.000 0.500 0.000
Mn 0.000 0.000 0.500
Be 0.500 0.500 0.500
O 0.000 0.000 0.000

Values from the calculation:
**Volume**: 9.9 A^3/atom
**Final energy**: -7.935 eV/atom
**Size of the total moment**: 3.1 Bohr magnetons per cell
**Formation energy (no corrections)**: -0.228 eV/atom
**Crystal system**: cubic

=====

# 3
## KPb3N (GGA-PBEsol)

Data for an optimized crystal structure of KPb3N.

Cell lengths 5.147, 5.147, 5.147 Å; angles 90.00, 90.00, 90.00 degrees
Positions (direct):
N 0.000 0.000 0.000
Pb 0.000 0.000 0.500
Pb 0.500 0.000 0.000
Pb 0.000 0.500 0.000
K 0.500 0.500 0.500

Values from the calculation:
**Volume**: 27.3 A^3/atom
**Final energy**: -3.886 eV/atom
**Relative energy among the computed polymorphs**: 0 meV/atom
**Size of the total moment**: 0.4 Bohr magnetons per cell
**Formation energy (no corrections)**: 0.445 eV/atom
**Crystal system**: cubic

=====

# 4
## Be4CuOs (GGA-PBEsol)

Data for an optimized crystal structure of Be4CuOs.

Cell lengths 4.267, 4.267, 4.267 Å; angles 60.00, 60.00, 60.00 degrees
Positions (direct):
Os 0.000 0.000 0.000
Be 0.626 0.626 0.626
Be 0.626 0.626 0.122
Be 0.122 0.626 0.626
Be 0.626 0.122 0.626
Cu 0.250 0.250 0.250

Values from the calculation:
**Volume**: 9.2 A^3/atom
**Final energy**: -5.555 eV/atom
**Size of the total moment**: 0.0 Bohr magnetons per cell
**ΔH_f (0 K)**: -0.13 eV per atom
**Crystal system**: cubic

=====

# 5
## LiYSi2 (GGA-PBEsol)

Data for an optimized crystal structure of LiYSi2.

Cell lengths 3.777, 4.410, 5.147 Å; angles 109.27, 90.00, 115.35 degrees
Positions (direct):
Y 0.500 0.000 0.000
Si 0.264 0.529 0.360
Si 0.736 0.471 0.640
Li 0.000 0.000 0.500

Values from the calculation:
**Volume**: 18.0 A^3/atom
**Final energy**: -5.589 eV/atom
**Relative energy among the computed polymorphs**: 0 meV/atom
**Size of the total moment**: 0.0 Bohr magnetons per cell
**Formation energy (no corrections)**: -0.519 eV/atom
**Crystal system**: monoclinic

=====

# 6
## LiTa2Ag (GGA-PBEsol)

Data for an optimized crystal structure of LiTa2Ag.

Cell lengths 3.336, 3.336, 5.998 Å; angles 90.00, 90.00, 90.00 degrees
Positions (direct):
Ta 0.000 0.000 0.007
Ta 0.500 0.500 0.235
Li 0.500 0.500 0.735
Ag 0.000 0.000 0.523

Values from the calculation:
**Volume**: 16.7 A^3/atom
**Final energy**: -7.263 eV/atom
**Relative energy among the computed polymorphs**: 0 meV/atom
**Size of the total moment**: 0.0 Bohr magnetons per cell
**ΔH_f (0 K)**: 0.33 eV per atom
**Crystal system**: tetragonal

=====

# 7
## CdBrO2F (GGA-PBEsol)

Data for an optimized crystal structure of CdBrO2F.

Cell lengths 3.770, 3.770, 5.362 Å; angles 90.00, 90.00, 90.00 degrees
Positions (direct):
Br 0.000 0.000 0.000
Cd 0.500 0.500 0.500
O 0.500 0.000 0.000
O 0.000 0.500 0.000
F 0.000 0.000 0.500

Values from the calculation:
**Volume**: 15.2 A^3/atom
**Final energy**: -3.161 eV/atom
**Size of the total moment**: 0.0 Bohr magnetons per cell
**Formation energy (no corrections)**: -0.062 eV/atom
**Crystal system**: tetragonal

=====

# 8
## K3Ir (GGA-PBEsol)

Data for an optimized crystal structure of K3Ir.

Cell lengths 4.964, 4.964, 4.964 Å; angles 90.00, 90.00, 90.00 degrees
Positions (direct):
K 0.000 0.500 0.500
K 0.500 0.000 0.500
K 0.500 0.500 0.000
Ir 0.000 0.000 0.000

Values from the calculation:
**Volume**: 30.6 A^3/atom
**Final energy**: -2.377 eV/atom
**Relative energy among the computed polymorphs**: 104 meV/atom
**Size of the total moment**: 0.5 Bohr magnetons per cell
**ΔH_f (0 K)**: 0.93 eV per atom
**Crystal system**: cubic

=====

# 9
## MgCo2Ag (GGA-PBEsol)

Data for an optimized crystal structure of MgCo2Ag.

Cell lengths 3.659, 3.659, 4.007 Å; angles 90.00, 90.00, 90.00 degrees
Positions (direct):
Co 0.500 0.000 0.000
Co 0.000 0.500 0.000
Ag 0.000 0.000 0.500
Mg 0.500 0.500 0.500

Values from the calculation:
**Volume**: 13.4 A^3/atom
**Final energy**: -4.863 eV/atom
**Size of the total moment**: 2.9 Bohr magnetons per cell
**ΔH_f (0 K)**: 0.26 eV per atom
**Crystal system**: tetragonal

=====

# 10
## In3Re (GGA-PBEsol)

Data for an optimized crystal structure of In3Re.

Cell lengths 3.019, 5.104, 5.104 Å; angles 90.00, 90.00, 90.00 degrees
Positions (direct):
In 0.500 0.500 0.500
In 0.000 0.000 0.500
In 0.000 0.500 0.000
Re 0.500 0.000 0.000

Values from the calculation:
**Volume**: 19.7 A^3/atom
**Final energy**: -4.932 eV/atom
**Relative energy among the computed polymorphs**: 97 meV/atom
**Size of the total moment**: 0.0 Bohr magnetons per cell
**ΔH_f (0 K)**: 0.64 eV per atom
**Crystal system**: tetragonal

=====

# 11
## TcAu (GGA-PBEsol)

Data for an optimized crystal structure of TcAu.

Cell lengths 2.792, 2.792, 9.133 Å; angles 90.00, 90.00, 120.00 degrees
Positions (direct):
Au 0.333 0.667 0.864
Au 0.667 0.333 0.136
Tc 0.667 0.333 0.608
Tc 0.333 0.667 0.392

Values from the calculation:
**Volume**: 15.4 A^3/atom
**Final energy**: -7.540 eV/atom
**Relative energy among the computed polymorphs**: 0 meV/atom
**Size of the total moment**: 0.0 Bohr magnetons per cell
**ΔH_f (0 K)**: 0.06 eV per atom
**Crystal system**: trigonal

=====

# 12
## SiNiTe2 (GGA-PBEsol)

Data for an optimized crystal structure of SiNiTe2.

Cell lengths 3.546, 3.546, 8.801 Å; angles 78.38, 78.38, 60.00 degrees
Positions (direct):
Te 0.109 0.109 0.673
Te 0.891 0.891 0.327
Ni 0.500 0.500 0.500
Si 0.000 0.000 0.000

Values from the calculation:
**Volume**: 23.3 A^3/atom
**Final energy**: -4.451 eV/atom
**Size of the total moment**: 0.0 Bohr magnetons per cell
**Formation energy (no corrections)**: 0.288 eV/atom
**Crystal system**: trigonal